The following is a DFT calculation (PBE with a Hubbard U) of crystalline Ba2TaMnO6 at its relaxed geometry.

Output
E ... -7.94 eV per atom

a = 11.7424 Å, b = 8.0493 Å, c = 5.8915 Å
α = 90.00°, β = 90.00°, γ = 90.00°
Last column: nearest neighbours and their distance in Å.
Space group Pnma (No. 62)
Asymmetric unit:
Ba 0.1251 0.0004 0.2364 x8  12 O 2.82-3.00
Ta 0.1252 0.2500 0.7338 x4  6 O 1.95-2.11
Mn 0.1261 0.7500 0.7374 x4  5 O 1.99-2.22
O 0.0022 0.2500 0.4837 x4  1 Mn 1.99, 1 Ta 2.06
O 0.0076 0.2500 0.9674 x4  1 Ta 1.95
O 0.1258 0.5014 0.7305 x8  1 Mn 2.00, 1 Ta 2.02
O 0.2464 0.2500 0.9589 x4  1 Ta 1.95
O 0.2490 0.2500 0.4746 x4  1 Mn 2.03, 1 Ta 2.11